Record 1
! KRe GGA-PBE relaxed; values from VASP
&SYSTEM
  ibrav = 0, nat = 6, ntyp = 2
/
ATOMIC_SPECIES
Re 186.21 Re.upf
K 39.10 K.upf
ATOMIC_POSITIONS angstrom
Re 0.0000 6.9264 3.5728
K 0.0000 5.2448 11.3114
K 0.0000 0.2273 0.6949
K 0.0000 7.8481 7.7031
Re 0.0000 4.0376 4.1989
Re 0.0000 1.1488 4.8253
CELL_PARAMETERS angstrom
1.5577 4.6604 0.3440
-1.5577 4.6604 0.3440
0.0000 2.4174 14.2226
! energy relative to the elements	80.1	kJ per mole of atoms
! crystal system	monoclinic
! offset from the most stable computed form	0	meV/atom

---

Record 2
! TaSbH2 GGA-PBE relaxed; values from VASP
&SYSTEM
  ibrav = 0, nat = 4, ntyp = 3
/
ATOMIC_SPECIES
Sb 121.76 Sb.upf
Ta 180.95 Ta.upf
H 1.01 H.upf
ATOMIC_POSITIONS angstrom
Sb 0.0000 0.0000 0.0000
Ta 3.1724 1.2239 3.7184
H 1.5862 0.6119 1.8592
H 4.7586 1.8358 5.5776
CELL_PARAMETERS angstrom
3.9584 0.2464 1.0936
1.2657 3.0342 2.4733
1.1206 -0.8329 3.8699
! crystal system	cubic
! offset from the most stable computed form	1007	meV/atom

---

Record 3
! CsNd2Re2N6 GGA-PBE relaxed; values from VASP
&SYSTEM
  ibrav = 0, nat = 11, ntyp = 4
/
ATOMIC_SPECIES
N 14.01 N.upf
Nd 144.24 Nd.upf
Re 186.21 Re.upf
Cs 132.91 Cs.upf
ATOMIC_POSITIONS angstrom
N 2.9852 9.7751 2.7695
N 1.3990 7.1170 0.7146
Nd 3.5203 7.9602 1.3446
Re -0.2546 6.8849 1.5029
N 0.3347 1.3835 2.0450
Re 3.5745 4.2736 3.3116
N -0.5556 5.3162 2.3398
N 3.8755 5.8423 2.4747
Cs 2.8266 4.4318 -0.3948
N 1.9209 4.0415 4.1000
Nd -0.2004 3.1983 3.4700
CELL_PARAMETERS angstrom
-1.0905 6.8697 0.4891
-2.3333 2.2950 5.6043
6.7437 1.9938 -1.2788
! E_form (uncorrected)	-0.5547	eV/atom
! crystal system	triclinic

---

Record 4
! Li3Si23 GGA-PBE relaxed; values from VASP
&SYSTEM
  ibrav = 0, nat = 52, ntyp = 2
/
ATOMIC_SPECIES
Si 28.09 Si.upf
Li 6.94 Li.upf
ATOMIC_POSITIONS angstrom
Si -7.0723 -0.4177 9.1126
Si -7.7148 1.8590 9.0977
Si -5.4449 -0.5350 3.8783
Si -7.3000 0.9330 3.8863
Si -3.8575 -1.2927 7.2603
Si -0.5294 5.5717 7.7119
Si -2.4692 0.3202 6.2270
Li -5.1536 2.1888 1.0352
Si -2.5433 2.2705 7.5891
Li -0.7650 -0.2024 9.1472
Si -2.6956 4.2245 2.7036
Si -5.2765 -1.3564 1.6554
Si -3.2254 -0.6186 0.7104
Si -7.1123 -0.5404 0.3871
Li -5.3120 6.3622 3.9499
Si -3.6762 3.9341 6.3460
Si -3.9743 1.7837 9.4088
Si -4.2020 3.1344 4.1825
Si -0.6420 3.3429 8.5270
Si -8.9965 -3.0543 7.1642
Si -1.4048 5.7956 3.9323
Si -7.4168 4.0094 6.0348
Si -2.5883 -3.1833 7.6973
Si -2.0777 0.5007 2.4501
Si -5.6339 -1.8983 5.8201
Si -9.1966 2.2161 10.8450
Si -7.7320 -5.0114 6.7554
Si -3.8451 -5.0897 7.0787
Si -6.5733 3.1821 3.9853
Si -9.0608 2.7554 1.0528
Li -0.3606 2.7148 4.9922
Si -8.6859 5.9000 5.5978
Li -8.0159 -2.7640 3.5218
Si -5.8294 3.2517 9.4168
Si -5.6809 -4.2736 5.8104
Si -0.2865 -0.8247 3.2447
Li -2.9415 -2.8661 3.9440
Si -2.2778 5.7710 6.1309
Si -4.7010 -0.4654 9.3099
Si -5.6404 4.6150 7.4751
Si -3.5595 0.8577 4.1975
Si -0.5963 -3.0593 6.4274
Si -9.1821 5.9522 3.2854
Si -8.8051 2.3966 7.0682
Si -7.7700 4.3266 2.2815
Si -0.4836 -0.8305 5.6123
Si -8.4859 0.6297 1.9170
Si -7.5980 -1.2174 6.9491
Si -0.8391 3.3371 10.8946
Si -1.2835 2.5989 1.6997
Si -8.7310 0.4462 5.7061
Si -2.7884 2.0871 11.3781
CELL_PARAMETERS angstrom
-10.1487 0.2043 -0.8442
-0.8087 -5.8344 8.3100
-0.3169 8.3468 5.8293
! E_form (uncorrected)	0.0556	eV/atom
! crystal system	cubic

---

Record 5
! K2PuAg2Se4 GGA-PBE relaxed; values from VASP
&SYSTEM
  ibrav = 0, nat = 9, ntyp = 4
/
ATOMIC_SPECIES
K 39.10 K.upf
Se 78.96 Se.upf
Ag 107.87 Ag.upf
Pu 244.00 Pu.upf
ATOMIC_POSITIONS angstrom
K 2.1298 1.2874 5.3480
Se 2.1298 4.5959 4.6082
Se 2.1298 6.0114 0.3409
K 0.0000 3.7784 2.0970
Ag 0.0000 -1.7211 4.5784
Pu 0.0000 0.0000 0.0000
Se 0.0000 -0.9456 7.1041
Ag 2.1298 6.7870 2.8666
Se 0.0000 0.4699 2.8368
CELL_PARAMETERS angstrom
4.2595 0.0000 0.0000
0.0000 7.9639 0.2943
-2.1298 -2.8981 7.1507
! E_form (uncorrected)	-0.9495	eV/atom
! crystal system	monoclinic

---

Record 6
! Li2Pr2Si4Pt GGA-PBE relaxed; values from VASP
&SYSTEM
  ibrav = 0, nat = 9, ntyp = 4
/
ATOMIC_SPECIES
Pr 140.91 Pr.upf
Pt 195.08 Pt.upf
Si 28.09 Si.upf
Li 6.94 Li.upf
ATOMIC_POSITIONS angstrom
Pr 0.2169 -0.1417 3.7480
Pt 0.0000 0.0000 0.0000
Si -2.8552 0.3654 3.8940
Li -1.6366 1.0693 1.6871
Si -2.8552 3.3654 1.9926
Si 1.9154 0.8402 1.3256
Pr 0.2169 3.4499 1.4717
Li -4.0738 2.6616 4.1995
Si -1.4816 2.4680 3.8940
CELL_PARAMETERS angstrom
6.1443 -0.4227 -0.6670
-2.8552 5.4570 0.6670
-2.8552 -1.7261 5.2196
! E_form (uncorrected)	-0.6095	eV/atom
! crystal system	tetragonal

---

Record 7
! K3LaTh2S6 GGA-PBE relaxed; values from VASP
&SYSTEM
  ibrav = 0, nat = 12, ntyp = 4
/
ATOMIC_SPECIES
S 32.06 S.upf
Th 232.04 Th.upf
La 138.91 La.upf
K 39.10 K.upf
ATOMIC_POSITIONS angstrom
S -1.4830 -3.1221 6.3142
S 1.7987 -0.7907 5.5335
Th -3.3930 -2.2726 0.8266
S -0.6452 -2.4120 1.5625
S -1.5385 1.1324 6.9402
S -3.9825 -0.4889 2.9693
La 0.0000 0.0000 0.0000
K -1.0377 -4.7860 3.6413
Th -3.4469 1.8508 1.4334
K -1.0919 -0.6398 4.2514
K -1.1460 3.5063 4.8615
S -0.7008 1.8425 2.1886
CELL_PARAMETERS angstrom
-3.5007 5.9706 2.0396
-3.3392 -6.3924 0.2204
4.6562 -0.8578 6.2428
! E_form (uncorrected)	-1.7527	eV/atom
! crystal system	monoclinic

---

Record 8
! CaP2RhO GGA-PBE relaxed; values from VASP
&SYSTEM
  ibrav = 0, nat = 5, ntyp = 4
/
ATOMIC_SPECIES
O 16.00 O.upf
P 30.97 P.upf
Rh 102.91 Rh.upf
Ca 40.08 Ca.upf
ATOMIC_POSITIONS angstrom
O 0.0000 0.0000 2.2877
P 2.2392 0.0000 0.0000
P 0.0000 2.2392 0.0000
Rh 0.0000 0.0000 0.0000
Ca 2.2392 2.2392 2.2877
CELL_PARAMETERS angstrom
4.4785 0.0000 0.0000
0.0000 4.4785 0.0000
0.0000 0.0000 4.5755
! E_form (uncorrected)	-0.2508	eV/atom
! crystal system	tetragonal
! offset from the most stable computed form	0	meV/atom

---

Record 9
! La3Pm6Pr2 GGA-PBE relaxed; values from VASP
&SYSTEM
  ibrav = 0, nat = 11, ntyp = 3
/
ATOMIC_SPECIES
Pr 140.91 Pr.upf
Pm 145.00 Pm.upf
La 138.91 La.upf
ATOMIC_POSITIONS angstrom
Pr 2.6765 4.2187 7.2011
Pm 0.9739 0.0000 3.2321
Pm 4.5813 4.0457 10.5861
La 5.5745 3.7625 2.3257
La 2.7873 2.1126 1.1629
Pr 5.4637 1.6564 8.3639
Pm 6.3462 4.0457 6.1418
La 0.0000 0.0000 0.0000
Pm 1.7941 1.8294 9.4232
Pm 4.3791 0.0000 11.1700
Pm 3.5589 1.8294 4.9789
CELL_PARAMETERS angstrom
5.5745 0.0000 2.3257
2.7873 5.8751 1.1629
-0.2216 0.0000 12.0764
! energy relative to the elements	13.7	kJ per mole of atoms
! crystal system	monoclinic

---

Record 10
! NaMnRu3 GGA-PBE relaxed; values from VASP
&SYSTEM
  ibrav = 0, nat = 5, ntyp = 3
/
ATOMIC_SPECIES
Ru 101.07 Ru.upf
Mn 54.94 Mn.upf
Na 22.99 Na.upf
ATOMIC_POSITIONS angstrom
Ru 0.0000 2.2334 0.0000
Mn 0.0000 0.0000 0.0000
Ru 0.0000 0.0000 2.2334
Na 2.2334 2.2334 2.2334
Ru 2.2334 0.0000 0.0000
CELL_PARAMETERS angstrom
4.4667 0.0000 0.0000
0.0000 4.4667 0.0000
0.0000 0.0000 4.4667
! energy relative to the elements	113.0	kJ per mole of atoms
! crystal system	cubic
! offset from the most stable computed form	0	meV/atom

---

Record 11
! Li4CaRh GGA-PBE relaxed; values from VASP
&SYSTEM
  ibrav = 0, nat = 6, ntyp = 3
/
ATOMIC_SPECIES
Li 6.94 Li.upf
Ca 40.08 Ca.upf
Rh 102.91 Rh.upf
ATOMIC_POSITIONS angstrom
Li -0.8270 2.7889 6.5461
Li -3.2236 3.0254 5.6364
Ca 0.0000 0.0000 0.0000
Li -2.4569 0.8009 6.6809
Li -1.5185 1.5437 4.4018
Rh -3.0098 3.0596 8.7244
CELL_PARAMETERS angstrom
1.4217 2.5602 4.4085
-3.5055 3.0462 2.5383
-1.9293 -1.5270 4.6858
! energy relative to the elements	0.5	kJ per mole of atoms
! crystal system	cubic
! offset from the most stable computed form	105	meV/atom

---

Record 12
! AcAuS2O8 GGA-PBE relaxed; values from VASP
&SYSTEM
  ibrav = 0, nat = 12, ntyp = 4
/
ATOMIC_SPECIES
O 16.00 O.upf
Ac 227.00 Ac.upf
S 32.06 S.upf
Au 196.97 Au.upf
ATOMIC_POSITIONS angstrom
O -5.7888 1.4743 3.1067
O -7.0651 7.0244 5.6961
O -6.7049 4.2874 1.0045
Ac 0.0000 0.0000 0.0000
S -7.3675 6.0674 4.5472
O -6.2417 6.1717 3.5812
O -2.7168 5.3403 3.3458
S -2.5045 1.8686 1.3310
Au -4.9360 3.9680 2.9391
O -4.8936 3.4167 5.5213
O -2.8069 0.9115 0.1821
O -3.2700 3.1175 1.0749
CELL_PARAMETERS angstrom
-3.7601 3.0856 -1.5806
-4.7512 -0.6382 1.7823
-1.3606 5.4885 5.6765
! E_form (uncorrected)	-1.6160	eV/atom
! crystal system	trigonal